Record 1
Entry from the Alexandria database: Tb3Hg4 after structural relaxation (PBE).

Results
Energy relative to the elements ... -431 meV/atom
Offset from the most stable computed form ... 0 meV/atom
Space-group type ... I-43d
Density of states at the Fermi level ... 11.7 states/eV per cell
Calculated volume ... 374.5 Å³/cell

Cell lengths 7.865, 7.865, 7.865 Å; angles 109.47, 109.47, 109.47 degrees
Positions (direct):
Tb  0.375  0.125  0.750
Hg  0.000  0.000  0.833
Hg  0.667  0.167  0.167
Hg  0.000  0.000  0.333
Hg  0.833  0.500  0.000
Tb  0.125  0.375  0.250
Tb  0.250  0.875  0.125
Hg  0.500  0.833  0.500
Hg  0.333  0.500  0.000
Hg  0.500  0.333  0.500
Tb  0.625  0.750  0.875
Tb  0.750  0.625  0.375
Tb  0.875  0.250  0.625
Hg  0.167  0.667  0.667



Record 2
Entry from the Alexandria database: TbHg6 after structural relaxation (PBE).

Results
Energy relative to the elements ... 452 meV/atom
Offset from the most stable computed form ... 624 meV/atom
Space-group type ... Im-3m
Density of states at the Fermi level ... 4.8 states/eV per cell
Calculated volume ... 248.6 Å³/cell

Cell lengths 6.861, 6.861, 6.861 Å; angles 109.47, 109.47, 109.47 degrees
Positions (direct):
Hg  0.500  0.250  0.750
Hg  0.250  0.500  0.750
Hg  0.250  0.750  0.500
Tb  0.000  0.000  0.000
Hg  0.750  0.500  0.250
Hg  0.750  0.250  0.500
Hg  0.500  0.750  0.250



Record 3
Entry from the Alexandria database: Tb4Hg after structural relaxation (PBE).

Results
Energy relative to the elements ... -73 meV/atom
Offset from the most stable computed form ... 104 meV/atom
Space-group type ... I4_1/a
Density of states at the Fermi level ... 17.3 states/eV per cell
Calculated volume ... 312.2 Å³/cell

Cell lengths 6.463, 6.463, 8.761 Å; angles 111.64, 111.64, 90.00 degrees
Positions (direct):
Tb  0.078  0.690  0.657
Tb  0.672  0.560  0.843
Hg  0.000  0.000  0.000
Tb  0.717  0.328  0.157
Tb  0.033  0.922  0.343
Tb  0.310  0.421  0.343
Tb  0.171  0.283  0.843
Tb  0.579  0.967  0.657
Tb  0.440  0.829  0.157
Hg  0.750  0.250  0.500



Record 4
Entry from the Alexandria database: Tb4Hg after structural relaxation (PBE).

Results
Energy relative to the elements ... 277 meV/atom
Offset from the most stable computed form ... 455 meV/atom
Space-group type ... Pm-3m
Density of states at the Fermi level ... 8.0 states/eV per cell
Calculated volume ... 182.9 Å³/cell

Cell lengths 5.676, 5.676, 5.676 Å; angles 90.00, 90.00, 90.00 degrees
Positions (direct):
Tb  0.500  0.500  0.000
Hg  0.500  0.500  0.500
Tb  0.500  0.000  0.500
Tb  0.000  0.500  0.500
Tb  0.000  0.000  0.000



Record 5
Entry from the Alexandria database: Tb5Hg6 after structural relaxation (PBE).

Results
Energy relative to the elements ... -391 meV/atom
Space-group type ... C2/m
Density of states at the Fermi level ... 9.8 states/eV per cell
Calculated volume ... 303.9 Å³/cell

Cell lengths 5.172, 7.474, 9.063 Å; angles 114.35, 106.15, 90.00 degrees
Positions (direct):
Hg  0.832  0.084  0.667
Hg  0.168  0.417  0.333
Tb  0.654  0.151  0.301
Hg  0.500  0.735  0.000
Tb  0.327  0.328  0.656
Hg  0.500  0.265  0.000
Hg  0.168  0.916  0.333
Tb  0.346  0.849  0.699
Tb  0.673  0.672  0.344
Tb  0.000  0.500  0.000
Hg  0.832  0.583  0.667



Record 6
Entry from the Alexandria database: Tb5Hg2 after structural relaxation (PBE).

Results
Energy relative to the elements ... -214 meV/atom
Offset from the most stable computed form ... 26 meV/atom
Space-group type ... Ibam
Density of states at the Fermi level ... 17.1 states/eV per cell
Calculated volume ... 399.4 Å³/cell

Cell lengths 6.731, 8.073, 9.036 Å; angles 116.53, 111.87, 90.00 degrees
Positions (direct):
Tb  0.582  0.917  0.165
Tb  0.082  0.248  0.165
Tb  0.918  0.752  0.835
Tb  0.418  0.083  0.835
Tb  0.521  0.271  0.542
Tb  0.479  0.729  0.458
Tb  0.250  0.500  0.000
Hg  0.873  0.092  0.746
Hg  0.373  0.653  0.746
Tb  0.750  0.500  0.000
Tb  0.021  0.271  0.542
Hg  0.127  0.908  0.254
Tb  0.979  0.729  0.458
Hg  0.627  0.347  0.254



Number 5 is which compound?
Tb5Hg6



What is the formula in the first record?
Tb3Hg4



density of states at the Fermi level of number 4 (Tb4Hg)?
8.0 states/eV per cell



The highest density of states at the Fermi level belongs to which entry?
number 3